Material: SmNpP
Method: DFT, PBE
State: relaxed

Properties
DOS(E_F) ... 2.95 states/eV/f.u.
Size of the total moment ... 0.7929 μB per atom
E_form ... -0.17 eV per atom

Structure (CIF):
```
data_SmNpP
_cell_length_a 4.5575
_cell_length_b 4.5575
_cell_length_c 27.6654
_cell_angle_alpha 90.00
_cell_angle_beta 90.00
_cell_angle_gamma 120.00
_space_group_name_H-M_alt 'P 1'
_space_group_IT_number 1
loop_
_space_group_symop_operation_xyz
'x,y,z'
loop_
_atom_site_label
_atom_site_fract_x
_atom_site_fract_y
_atom_site_fract_z
_atom_site_occupancy
Sm1 0.0000 0.5000 0.6070 1
Sm2 0.0000 0.5000 0.0597 1
Sm3 0.5000 0.5000 0.2736 1
Sm4 0.5000 0.0000 0.3930 1
Sm5 0.5000 0.5000 0.7264 1
Sm6 0.5000 0.0000 0.9403 1
P1 0.0000 0.0000 0.8333 1
P2 0.0000 0.0000 0.1667 1
P3 0.0000 0.5000 0.3333 1
P4 0.5000 0.5000 0.0000 1
P5 0.5000 0.0000 0.6667 1
P6 0.0000 0.0000 0.5000 1
Np1 0.6656 0.3313 0.1667 1
Np2 0.3344 0.6687 0.1667 1
Np3 0.6656 0.3344 0.5000 1
Np4 0.3313 0.6656 0.8333 1
Np5 0.3344 0.6656 0.5000 1
Np6 0.6687 0.3344 0.8333 1
```



Material: SmNpP2
Method: DFT, PBE
State: relaxed

Properties
DOS(E_F) ... 9.14 states/eV/f.u.
Size of the total moment ... 0.9164 μB per atom
E_form ... -1.22 eV per atom

Structure (CIF):
```
data_SmNpP2
_cell_length_a 4.0236
_cell_length_b 4.0236
_cell_length_c 6.9908
_cell_angle_alpha 73.28
_cell_angle_beta 73.28
_cell_angle_gamma 60.00
_space_group_name_H-M_alt 'P 1'
_space_group_IT_number 1
loop_
_space_group_symop_operation_xyz
'x,y,z'
loop_
_atom_site_label
_atom_site_fract_x
_atom_site_fract_y
_atom_site_fract_z
_atom_site_occupancy
P1 0.7454 0.7454 0.7638 1
P2 0.2546 0.2546 0.2362 1
Np1 0.0000 0.0000 0.0000 1
Sm1 0.5000 0.5000 0.5000 1
```



Material: Sm4NpP5
Method: DFT, PBE
State: relaxed

Properties
DOS(E_F) ... 10.87 states/eV/f.u.
Size of the total moment ... 0.3534 μB per atom
E_form ... -1.42 eV per atom

Structure (CIF):
```
data_Sm4NpP5
_cell_length_a 5.7593
_cell_length_b 7.0534
_cell_length_c 7.0534
_cell_angle_alpha 80.41
_cell_angle_beta 65.90
_cell_angle_gamma 65.90
_space_group_name_H-M_alt 'P 1'
_space_group_IT_number 1
loop_
_space_group_symop_operation_xyz
'x,y,z'
loop_
_atom_site_label
_atom_site_fract_x
_atom_site_fract_y
_atom_site_fract_z
_atom_site_occupancy
P1 0.5013 0.0000 0.0000 1
P2 0.2922 0.8050 0.6124 1
P3 0.7097 0.1950 0.3876 1
P4 0.9047 0.3876 0.8050 1
P5 0.0973 0.6124 0.1950 1
Sm1 0.8016 0.7976 0.6012 1
Sm2 0.5992 0.6012 0.2024 1
Sm3 0.4028 0.3988 0.7976 1
Sm4 0.2004 0.2024 0.3988 1
Np1 0.0012 0.0000 0.0000 1
```



Material: SmNp4P5
Method: DFT, PBE
State: relaxed

Properties
DOS(E_F) ... 30.70 states/eV/f.u.
Size of the total moment ... 1.4987 μB per atom
E_form ... -1.00 eV per atom

Structure (CIF):
```
data_SmNp4P5
_cell_length_a 3.9917
_cell_length_b 5.6424
_cell_length_c 10.5502
_cell_angle_alpha 105.51
_cell_angle_beta 100.90
_cell_angle_gamma 90.00
_space_group_name_H-M_alt 'P 1'
_space_group_IT_number 1
loop_
_space_group_symop_operation_xyz
'x,y,z'
loop_
_atom_site_label
_atom_site_fract_x
_atom_site_fract_y
_atom_site_fract_z
_atom_site_occupancy
Np1 0.5995 0.5995 0.1990 1
Np2 0.4005 0.4005 0.8010 1
Np3 0.2019 0.2019 0.4037 1
Np4 0.7981 0.7981 0.5963 1
P1 0.8014 0.3014 0.6028 1
P2 0.6050 0.1050 0.2100 1
P3 0.3950 0.8950 0.7900 1
P4 0.1986 0.6986 0.3972 1
P5 0.0000 0.5000 0.0000 1
Sm1 0.0000 0.0000 0.0000 1
```



Material: TbSm2NpP4
Method: DFT, PBE
State: relaxed

Properties
DOS(E_F) ... 10.75 states/eV/f.u.
Size of the total moment ... 0.4500 μB per atom
E_form ... -1.40 eV per atom

Structure (CIF):
```
data_TbSm2NpP4
_cell_length_a 4.0390
_cell_length_b 7.0009
_cell_length_c 7.0103
_cell_angle_alpha 109.30
_cell_angle_beta 90.00
_cell_angle_gamma 90.00
_space_group_name_H-M_alt 'P 1'
_space_group_IT_number 1
loop_
_space_group_symop_operation_xyz
'x,y,z'
loop_
_atom_site_label
_atom_site_fract_x
_atom_site_fract_y
_atom_site_fract_z
_atom_site_occupancy
P1 0.0000 0.2574 0.7608 1
P2 0.5000 0.7477 0.7590 1
P3 0.5000 0.2523 0.2410 1
P4 0.0000 0.7426 0.2392 1
Np1 0.5000 0.5000 0.0000 1
Tb1 0.0000 0.0000 0.0000 1
Sm1 0.0000 0.5000 0.5000 1
Sm2 0.5000 0.0000 0.5000 1
```



Material: Sm3Th2NpP6
Method: DFT, PBE
State: relaxed

Properties
DOS(E_F) ... 13.39 states/eV/f.u.
Size of the total moment ... 0.3343 μB per atom
E_form ... -1.45 eV per atom

Structure (CIF):
```
data_Sm3Th2NpP6
_cell_length_a 4.1018
_cell_length_b 8.1966
_cell_length_c 9.1723
_cell_angle_alpha 103.01
_cell_angle_beta 102.92
_cell_angle_gamma 90.00
_space_group_name_H-M_alt 'P 1'
_space_group_IT_number 1
loop_
_space_group_symop_operation_xyz
'x,y,z'
loop_
_atom_site_label
_atom_site_fract_x
_atom_site_fract_y
_atom_site_fract_z
_atom_site_occupancy
Th1 0.8352 0.6696 0.6704 1
Th2 0.1648 0.3304 0.3296 1
P1 0.3359 0.9192 0.6719 1
P2 0.6672 0.5829 0.3344 1
P3 0.9991 0.2413 0.9981 1
P4 0.6641 0.0808 0.3281 1
P5 0.0009 0.7587 0.0019 1
P6 0.3328 0.4171 0.6656 1
Sm1 0.1673 0.8334 0.3347 1
Sm2 0.5000 0.5000 0.0000 1
Sm3 0.8327 0.1666 0.6653 1
Np1 0.5000 0.0000 0.0000 1
```



Material: SmTm2NpP4
Method: DFT, PBE
State: relaxed

Properties
DOS(E_F) ... 10.17 states/eV/f.u.
Size of the total moment ... 0.4544 μB per atom
E_form ... -1.40 eV per atom

Structure (CIF):
```
data_SmTm2NpP4
_cell_length_a 3.9829
_cell_length_b 6.9142
_cell_length_c 6.8938
_cell_angle_alpha 109.36
_cell_angle_beta 90.00
_cell_angle_gamma 90.00
_space_group_name_H-M_alt 'P 1'
_space_group_IT_number 1
loop_
_space_group_symop_operation_xyz
'x,y,z'
loop_
_atom_site_label
_atom_site_fract_x
_atom_site_fract_y
_atom_site_fract_z
_atom_site_occupancy
Np1 0.0000 0.0000 0.0000 1
P1 0.0000 0.2413 0.7451 1
P2 0.0000 0.7587 0.2549 1
P3 0.5000 0.2453 0.2521 1
P4 0.5000 0.7547 0.7479 1
Tm1 0.5000 0.0000 0.5000 1
Tm2 0.0000 0.5000 0.5000 1
Sm1 0.5000 0.5000 0.0000 1
```



Material: SmNpU2P4
Method: DFT, PBE
State: relaxed

Properties
DOS(E_F) ... 17.67 states/eV/f.u.
Size of the total moment ... 0.4464 μB per atom
E_form ... -1.07 eV per atom

Structure (CIF):
```
data_SmNpU2P4
_cell_length_a 3.9428
_cell_length_b 6.9484
_cell_length_c 6.8649
_cell_angle_alpha 109.02
_cell_angle_beta 90.00
_cell_angle_gamma 90.00
_space_group_name_H-M_alt 'P 1'
_space_group_IT_number 1
loop_
_space_group_symop_operation_xyz
'x,y,z'
loop_
_atom_site_label
_atom_site_fract_x
_atom_site_fract_y
_atom_site_fract_z
_atom_site_occupancy
P1 0.0000 0.7577 0.2605 1
P2 0.5000 0.7517 0.7437 1
P3 0.5000 0.2483 0.2563 1
P4 0.0000 0.2423 0.7395 1
Sm1 0.5000 0.5000 0.0000 1
U1 0.5000 0.0000 0.5000 1
U2 0.0000 0.5000 0.5000 1
Np1 0.0000 0.0000 0.0000 1
```



Number 1: raw total energy -141.5 eV per cell. Number 2: raw total energy -33.3 eV per cell. Number 3: raw total energy -73.1 eV per cell. Number 4: raw total energy -93.6 eV per cell. Number 5: raw total energy -59.8 eV per cell. Number 6: raw total energy -91.8 eV per cell. Number 7: raw total energy -59.4 eV per cell. Number 8: raw total energy -70.4 eV per cell.